Record 1
# PrSmGaCu, relaxed, DFT GGA-PBE
data_PrSmGaCu
_chemical_formula_sum 'Pr1 Sm1 Ga1 Cu1'
_space_group_name_H-M_alt 'P 1'
_space_group_IT_number 1
_cell_length_a 5.1615
_cell_length_b 5.1615
_cell_length_c 5.1615
_cell_angle_alpha 60.00
_cell_angle_beta 60.00
_cell_angle_gamma 60.00
loop_
_space_group_symop_operation_xyz
'x,y,z'
loop_
_atom_site_label
_atom_site_fract_x
_atom_site_fract_y
_atom_site_fract_z
Ga1 0.7500 0.7500 0.7500
Pr1 0.5000 0.5000 0.5000
Cu1 0.2500 0.2500 0.2500
Sm1 0.0000 0.0000 0.0000
# electronic total energy = -4.495 eV per atom

***

Record 2
# Y7Ga2Te2, relaxed, DFT GGA-PBE
data_Y7Ga2Te2
_chemical_formula_sum 'Y7 Ga2 Te2'
_space_group_name_H-M_alt 'P 1'
_space_group_IT_number 1
_cell_length_a 4.2841
_cell_length_b 9.1682
_cell_length_c 9.1682
_cell_angle_alpha 63.08
_cell_angle_beta 76.49
_cell_angle_gamma 76.49
loop_
_space_group_symop_operation_xyz
'x,y,z'
loop_
_atom_site_label
_atom_site_fract_x
_atom_site_fract_y
_atom_site_fract_z
Y1 0.5000 0.0107 0.9893
Te1 0.5000 0.3554 0.6446
Ga1 0.2669 0.3278 0.1383
Y2 0.8578 0.4070 0.8774
Y3 0.8161 0.0830 0.2848
Y4 0.3707 0.7389 0.5197
Y5 0.1422 0.1226 0.5930
Ga2 0.7331 0.8617 0.6722
Y6 0.6293 0.4803 0.2611
Y7 0.1839 0.7152 0.9170
Te2 0.0000 0.7512 0.2488
# E_form (uncorrected) = -0.772 eV per atom
# electronic total energy = -6.007 eV per atom

***

Record 3
# ZnSbTe3, relaxed, DFT GGA-PBE
data_ZnSbTe3
_chemical_formula_sum 'Zn1 Sb1 Te3'
_space_group_name_H-M_alt 'P 1'
_space_group_IT_number 1
_cell_length_a 5.2744
_cell_length_b 5.2744
_cell_length_c 5.2744
_cell_angle_alpha 90.00
_cell_angle_beta 90.00
_cell_angle_gamma 90.00
loop_
_space_group_symop_operation_xyz
'x,y,z'
loop_
_atom_site_label
_atom_site_fract_x
_atom_site_fract_y
_atom_site_fract_z
Te1 0.5000 0.0000 0.0000
Te2 0.0000 0.0000 0.5000
Te3 0.0000 0.5000 0.0000
Sb1 0.5000 0.5000 0.5000
Zn1 0.0000 0.0000 0.0000
# E_form (uncorrected) = 0.396 eV per atom
# ΔE to the lowest computed polymorph = 0.0 meV per atom
# electronic total energy = -2.568 eV per atom